1.
VASP calculation (GGA-PBE) on an optimized crystal structure of Dy2Tl2SnS6.

abc: 6.7882 6.7882 7.6799
angles: 90.00 90.00 120.00
With the nearest neighbours (Å) after each atom.
Sites, in units of the cell vectors:
Dy 0.3333 0.6667 0.0088  6 S 2.74-2.76
Dy 0.6667 0.3333 0.9912  6 S 2.74-2.76
Tl 0.3333 0.6667 0.5122  6 S 3.22-3.39
Tl 0.6667 0.3333 0.4878  6 S 3.22-3.39
Sn 0.0000 0.0000 0.0000  6 S 2.62
S 0.0060 0.6851 0.8065  1 Sn 2.62, 2 Dy 2.74-2.76
S 0.3149 0.3209 0.8065  1 Sn 2.62, 2 Dy 2.74-2.76
S 0.3209 0.0060 0.1935  1 Sn 2.62, 2 Dy 2.74-2.76
S 0.6791 0.9940 0.8065  1 Sn 2.62, 2 Dy 2.74-2.76
S 0.6851 0.6791 0.1935  1 Sn 2.62, 2 Dy 2.74-2.76
S 0.9940 0.3149 0.1935  1 Sn 2.62, 2 Dy 2.74-2.76

energy = -5.014 eV/atom
space-group type = P-3 (147)
spin magnetization = 0.00 μB per formula unit

***

2.
VASP calculation (GGA-PBE) on an optimized crystal structure of SrNiP2Pd.

abc: 5.6726 5.6726 5.6726
angles: 137.02 137.02 62.41
With the nearest neighbours (Å) after each atom.
Sites, in units of the cell vectors:
Sr 0.0000 0.0000 0.0000  8 P 3.16, 4 Ni 3.19, 4 Pd 3.19
Ni 0.2500 0.7500 0.5000  4 P 2.43
P 0.3795 0.3795 0.0000  1 P 2.34, 2 Ni 2.43, 2 Pd 2.43
P 0.6205 0.6205 0.0000  1 P 2.34, 2 Ni 2.43, 2 Pd 2.43
Pd 0.7500 0.2500 0.5000  4 P 2.43

energy = -5.412 eV/atom
space-group type = I-4m2 (119)
spin magnetization = 0.00 μB per formula unit

***

3.
VASP calculation (GGA-PBE) on an optimized crystal structure of NpB2.

abc: 7.4186 7.4186 7.4186
angles: 60.00 60.00 60.00
With the nearest neighbours (Å) after each atom.
Sites, in units of the cell vectors:
Np 0.1250 0.1250 0.1250  4 B 2.27
Np 0.8750 0.8750 0.8750  4 B 2.27
B 0.0000 0.0000 0.0000  2 Np 2.27
B 0.0000 0.0000 0.5000  2 Np 2.27
B 0.0000 0.5000 0.0000  2 Np 2.27
B 0.5000 0.0000 0.0000  2 Np 2.27

distance to the lowest polymorph of the same formula = 3350 meV per atom
energy = -5.819 eV/atom
space-group type = Fd-3m (227)
spin magnetization = 3.13 μB per formula unit

***

4.
VASP calculation (GGA-PBE) on an optimized crystal structure of NaHfBiOs.

abc: 4.8434 4.8434 4.8434
angles: 60.00 60.00 60.00
With the nearest neighbours (Å) after each atom.
Sites, in units of the cell vectors:
Na 0.0000 0.0000 0.0000  4 Bi 2.97, 4 Os 2.97
Hf 0.5000 0.5000 0.5000  4 Os 2.97, 4 Bi 2.97
Bi 0.2500 0.2500 0.2500  4 Hf 2.97, 4 Na 2.97
Os 0.7500 0.7500 0.7500  4 Hf 2.97, 4 Na 2.97

distance to the lowest polymorph of the same formula = 241 meV per atom
energy = -6.267 eV/atom
space-group type = F-43m (216)
spin magnetization = 0.00 μB per formula unit

***

5.
VASP calculation (GGA-PBE) on an optimized crystal structure of AcTaTc.

abc: 4.6948 4.6948 4.6948
angles: 60.00 60.00 60.00
With the nearest neighbours (Å) after each atom.
Sites, in units of the cell vectors:
Ac 0.0000 0.0000 0.0000  4 Ta 2.87, 4 Tc 2.87
Ta 0.7500 0.7500 0.7500  4 Ac 2.87
Tc 0.2500 0.2500 0.2500  4 Ac 2.87

calculated formation energy = 1.8476 eV/atom
distance to the lowest polymorph of the same formula = 934 meV per atom
energy = -6.925 eV/atom
space-group type = F-43m (216)
spin magnetization = 0.00 μB per formula unit

***

6.
VASP calculation (GGA-PBE) on an optimized crystal structure of NdMg.

abc: 6.9711 6.9711 5.6125
angles: 90.00 90.00 120.00
With the nearest neighbours (Å) after each atom.
Sites, in units of the cell vectors:
Nd 0.0000 0.0000 0.0000  6 Nd 3.46, 6 Mg 3.49
Nd 0.3344 0.1672 0.5000  6 Mg 3.45-3.49, 6 Nd 3.46-3.50
Nd 0.8328 0.1672 0.5000  6 Mg 3.45-3.49, 6 Nd 3.46-3.50
Nd 0.8328 0.6656 0.5000  6 Mg 3.45-3.49, 6 Nd 3.46-3.50
Mg 0.3333 0.6667 0.5000  6 Mg 3.46, 6 Nd 3.49
Mg 0.5007 0.0013 0.0000  6 Nd 3.45-3.49, 6 Mg 3.46-3.50
Mg 0.5007 0.4993 0.0000  6 Nd 3.45-3.49, 6 Mg 3.46-3.50
Mg 0.9987 0.4993 0.0000  6 Nd 3.45-3.49, 6 Mg 3.46-3.50

distance to the lowest polymorph of the same formula = 166 meV per atom
energy = -3.102 eV/atom
space-group type = P-6m2 (187)
spin magnetization = 0.01 μB per formula unit

***

7.
VASP calculation (GGA-PBE) on an optimized crystal structure of Ta2NbRe.

abc: 4.5942 4.5942 3.2431
angles: 90.00 90.00 90.00
With the nearest neighbours (Å) after each atom.
Sites, in units of the cell vectors:
Ta 0.0000 0.5000 0.0000  4 Nb 2.81, 4 Re 2.81
Ta 0.5000 0.0000 0.0000  4 Nb 2.81, 4 Re 2.81
Nb 0.0000 0.0000 0.5000  8 Ta 2.81
Re 0.5000 0.5000 0.5000  8 Ta 2.81

calculated formation energy = -0.2284 eV/atom
energy = -11.784 eV/atom
space-group type = P4/mmm (123)
spin magnetization = 0.00 μB per formula unit

***

8.
VASP calculation (GGA-PBE) on an optimized crystal structure of LiCoCuPb.

abc: 4.3363 4.3363 4.3363
angles: 60.00 60.00 60.00
With the nearest neighbours (Å) after each atom.
Sites, in units of the cell vectors:
Li 0.0000 0.0000 0.0000  4 Pb 2.66, 4 Cu 2.66
Co 0.5000 0.5000 0.5000  4 Pb 2.66, 4 Cu 2.66
Cu 0.2500 0.2500 0.2500  4 Co 2.66, 4 Li 2.66
Pb 0.7500 0.7500 0.7500  4 Li 2.66, 4 Co 2.66

distance to the lowest polymorph of the same formula = 0 meV per atom
energy = -3.983 eV/atom
space-group type = F-43m (216)
spin magnetization = 0.01 μB per formula unit

***

9.
VASP calculation (GGA-PBE) on an optimized crystal structure of LuTcBi2.

abc: 5.0909 5.0909 5.0909
angles: 60.00 60.00 60.00
With the nearest neighbours (Å) after each atom.
Sites, in units of the cell vectors:
Lu 0.0000 0.0000 0.0000  4 Tc 3.12, 4 Bi 3.12
Tc 0.2500 0.2500 0.2500  4 Bi 3.12, 4 Lu 3.12
Bi 0.5000 0.5000 0.5000  4 Bi 3.12, 4 Tc 3.12
Bi 0.7500 0.7500 0.7500  4 Bi 3.12, 4 Lu 3.12

energy = -5.444 eV/atom
space-group type = F-43m (216)
spin magnetization = 0.01 μB per formula unit

***

10.
VASP calculation (GGA-PBE) on an optimized crystal structure of Na2LiHgF6.

abc: 5.4792 5.4792 5.5817
angles: 118.81 118.81 60.68
With the nearest neighbours (Å) after each atom.
Sites, in units of the cell vectors:
Na 0.2453 0.2453 0.2139  5 F 2.21-2.30
Na 0.7547 0.7547 0.7861  5 F 2.21-2.30
Li 0.5000 0.5000 0.0000  6 F 1.92-2.04
Hg 0.0000 0.0000 0.5000  6 F 2.18
F 0.1889 0.6625 0.1587  1 Li 1.92
F 0.2638 0.2638 0.6257  1 Li 2.04, 1 Hg 2.18, 1 Na 2.21
F 0.3375 0.8111 0.8413  1 Li 1.92
F 0.6625 0.1889 0.1587  1 Li 1.92
F 0.7362 0.7362 0.3743  1 Li 2.04, 1 Hg 2.18, 1 Na 2.21
F 0.8111 0.3375 0.8413  1 Li 1.92

energy = -3.686 eV/atom
space-group type = C2/m (12)

***

11.
VASP calculation (GGA-PBE) on an optimized crystal structure of Ho2TmFe2Co7.

abc: 8.4294 8.4294 8.4294
angles: 34.67 34.67 34.67
With the nearest neighbours (Å) after each atom.
Sites, in units of the cell vectors:
Ho 0.1405 0.1405 0.1405  12 Co 2.87-3.00, 3 Ho 3.15
Ho 0.8595 0.8595 0.8595  12 Co 2.87-3.00, 3 Ho 3.15
Tm 0.0000 0.0000 0.0000  6 Fe 2.90, 12 Co 3.18
Fe 0.3339 0.3339 0.3339  6 Co 2.42-2.43
Fe 0.6661 0.6661 0.6661  6 Co 2.42-2.43
Co 0.0791 0.5831 0.5831  2 Fe 2.42-2.43, 5 Co 2.49-2.53
Co 0.4169 0.4169 0.9209  2 Fe 2.42-2.43, 5 Co 2.49-2.53
Co 0.4169 0.9209 0.4169  2 Fe 2.42-2.43, 5 Co 2.49-2.53
Co 0.5000 0.5000 0.5000  6 Co 2.49
Co 0.5831 0.0791 0.5831  2 Fe 2.42-2.43, 5 Co 2.49-2.53
Co 0.5831 0.5831 0.0791  2 Fe 2.42-2.43, 5 Co 2.49-2.53
Co 0.9209 0.4169 0.4169  2 Fe 2.42-2.43, 5 Co 2.49-2.53

calculated formation energy = -0.1993 eV/atom
energy = -6.865 eV/atom
space-group type = R-3m (166)
spin magnetization = 12.77 μB per formula unit

***

12.
VASP calculation (GGA-PBE) on an optimized crystal structure of HgAsOs.

abc: 4.3933 4.3933 4.3933
angles: 60.00 60.00 60.00
With the nearest neighbours (Å) after each atom.
Sites, in units of the cell vectors:
Hg 0.0000 0.0000 0.0000  4 Os 2.69
As 0.5000 0.5000 0.5000  4 Os 2.69
Os 0.7500 0.7500 0.7500  4 As 2.69, 4 Hg 2.69

distance to the lowest polymorph of the same formula = 0 meV per atom
energy = -4.685 eV/atom
space-group type = F-43m (216)
spin magnetization = 0.00 μB per formula unit

***

13.
VASP calculation (GGA-PBE) on an optimized crystal structure of Er2Ga4NiPd.

abc: 6.6936 5.4441 5.4441
angles: 45.81 90.00 90.00
With the nearest neighbours (Å) after each atom.
Sites, in units of the cell vectors:
Er 0.0000 0.0000 0.0000  3 Ni 2.85-3.03, 6 Ga 2.96-3.16
Er 0.5000 0.1555 0.1555  3 Pd 2.87-3.01, 6 Ga 3.02-3.17
Ga 0.1903 0.7116 0.7116  2 Ga 2.55-2.81, 2 Ni 2.58, 1 Pd 2.61
Ga 0.2948 0.4402 0.4402  1 Ni 2.52, 2 Pd 2.62, 2 Ga 2.75-2.81
Ga 0.7052 0.4402 0.4402  1 Ni 2.52, 2 Pd 2.62, 2 Ga 2.75-2.81
Ga 0.8097 0.7116 0.7116  2 Ga 2.55-2.81, 2 Ni 2.58, 1 Pd 2.61
Ni 0.0000 0.2842 0.2842  6 Ga 2.52-2.58
Pd 0.5000 0.8693 0.8693  6 Ga 2.61-2.62, 1 Er 2.87

energy = -4.718 eV/atom
space-group type = Amm2 (38)
spin magnetization = 0.00 μB per formula unit

***

14.
VASP calculation (GGA-PBE) on an optimized crystal structure of Sm3Mg3Al2Au.

abc: 7.5228 7.5228 4.4891
angles: 90.00 90.00 120.00
With the nearest neighbours (Å) after each atom.
Sites, in units of the cell vectors:
Sm 0.0000 0.5860 0.0000  1 Au 3.11, 4 Al 3.19, 2 Mg 3.43
Sm 0.4140 0.4140 0.0000  1 Au 3.11, 4 Al 3.19, 2 Mg 3.43
Sm 0.5860 0.0000 0.0000  1 Au 3.11, 4 Al 3.19, 2 Mg 3.43
Mg 0.0000 0.2405 0.5000  2 Au 2.88, 2 Al 2.92, 2 Mg 3.13
Mg 0.2405 0.0000 0.5000  2 Au 2.88, 2 Al 2.92, 2 Mg 3.13
Mg 0.7595 0.7595 0.5000  2 Au 2.88, 2 Al 2.92, 2 Mg 3.13
Al 0.3333 0.6667 0.5000  3 Mg 2.92, 6 Sm 3.19
Al 0.6667 0.3333 0.5000  3 Mg 2.92, 6 Sm 3.19
Au 0.0000 0.0000 0.0000  6 Mg 2.88, 3 Sm 3.11

energy = -3.736 eV/atom
space-group type = P-62m (189)
spin magnetization = 0.00 μB per formula unit

***

15.
VASP calculation (GGA-PBE) on an optimized crystal structure of Na4ZnIn2Au.

abc: 5.0240 5.0240 7.1204
angles: 90.00 90.00 90.00
With the nearest neighbours (Å) after each atom.
Sites, in units of the cell vectors:
Na 0.0000 0.0000 0.0000  4 Na 3.06, 4 In 3.08
Na 0.0000 0.5000 0.2462  4 Na 3.06-3.09, 2 Au 3.06, 2 Zn 3.09
Na 0.5000 0.0000 0.7538  4 Na 3.06-3.09, 2 Au 3.06, 2 Zn 3.09
Na 0.5000 0.5000 0.5000  4 In 3.07, 4 Na 3.09
Zn 0.0000 0.0000 0.5000  4 In 3.07, 4 Na 3.09
In 0.0000 0.5000 0.7487  4 Na 3.07-3.08, 2 Zn 3.07, 2 Au 3.08
In 0.5000 0.0000 0.2513  4 Na 3.07-3.08, 2 Zn 3.07, 2 Au 3.08
Au 0.5000 0.5000 0.0000  4 Na 3.06, 4 In 3.08

energy = -2.050 eV/atom
space-group type = P-4m2 (115)

***

16.
VASP calculation (GGA-PBE) on an optimized crystal structure of KTaAgTe3.

abc: 8.2891 8.2891 10.9752
angles: 90.00 90.00 151.81
With the nearest neighbours (Å) after each atom.
Sites, in units of the cell vectors:
K 0.2384 0.7616 0.7500  8 Te 3.63-3.79, 2 Ag 3.71, 2 K 4.04
K 0.7616 0.2384 0.2500  8 Te 3.63-3.79, 2 Ag 3.71, 2 K 4.04
Ta 0.0000 0.0000 0.0000  6 Te 2.86-2.98
Ta 0.0000 0.0000 0.5000  6 Te 2.86-2.98
Ag 0.4549 0.5451 0.2500  4 Te 2.72-2.77
Ag 0.5451 0.4549 0.7500  4 Te 2.72-2.77
Te 0.0729 0.9271 0.2500  2 Ag 2.77, 2 Ta 2.98
Te 0.3755 0.6245 0.0310  1 Ag 2.72, 2 Ta 2.86
Te 0.3755 0.6245 0.4690  1 Ag 2.72, 2 Ta 2.86
Te 0.6245 0.3755 0.5310  1 Ag 2.72, 2 Ta 2.86
Te 0.6245 0.3755 0.9690  1 Ag 2.72, 2 Ta 2.86
Te 0.9271 0.0729 0.7500  2 Ag 2.77, 2 Ta 2.98

energy = -4.542 eV/atom
space-group type = Cmcm (63)
spin magnetization = 0.70 μB per formula unit

***

17.
VASP calculation (GGA-PBE) on an optimized crystal structure of Sm2Y2CI2Br3.

abc: 9.5289 9.5289 8.2747
angles: 101.95 101.95 23.58
With the nearest neighbours (Å) after each atom.
Sites, in units of the cell vectors:
Sm 0.1360 0.1360 0.0720  1 C 2.48
Sm 0.8640 0.8640 0.9280  1 C 2.48
Y 0.4990 0.4990 0.1986  2 C 2.55
Y 0.5010 0.5010 0.8014  2 C 2.55
C 0.0000 0.0000 0.0000  2 Sm 2.48, 4 Y 2.55
I 0.3295 0.3295 0.1973  2 Sm 3.13, 1 Y 3.16
I 0.6705 0.6705 0.8027  2 Sm 3.13, 1 Y 3.16
Br 0.0000 0.0000 0.5000  4 Y 3.16
Br 0.3447 0.3447 0.6592  1 Y 2.90, 2 Sm 2.92
Br 0.6553 0.6553 0.3408  1 Y 2.90, 2 Sm 2.92

distance to the lowest polymorph of the same formula = 7 meV per atom
energy = -5.275 eV/atom
space-group type = C2/m (12)
spin magnetization = 0.00 μB per formula unit

***

18.
VASP calculation (GGA-PBE) on an optimized crystal structure of Pr2NdCu4Si4.

abc: 12.2261 12.2261 12.2261
angles: 160.49 160.35 27.83
With the nearest neighbours (Å) after each atom.
Sites, in units of the cell vectors:
Pr 0.1507 0.1507 0.0000  8 Cu 3.13-3.21, 6 Si 3.13-3.16
Pr 0.8493 0.8493 0.0000  8 Cu 3.13-3.21, 6 Si 3.13-3.16
Nd 0.0000 0.5000 0.5000  4 Cu 3.10, 8 Si 3.18
Cu 0.2496 0.7496 0.5000  4 Si 2.44
Cu 0.4032 0.4032 0.0000  3 Si 2.34-2.36
Cu 0.5968 0.5968 0.0000  3 Si 2.34-2.36
Cu 0.7504 0.2504 0.5000  4 Si 2.44
Si 0.3038 0.3038 0.0000  5 Cu 2.36-2.44
Si 0.4494 0.9494 0.5000  2 Cu 2.34, 1 Si 2.40
Si 0.5506 0.0506 0.5000  2 Cu 2.34, 1 Si 2.40
Si 0.6962 0.6962 0.0000  5 Cu 2.36-2.44

energy = -5.232 eV/atom
space-group type = Immm (71)
spin magnetization = 0.00 μB per formula unit

***

19.
VASP calculation (GGA-PBE) on an optimized crystal structure of LiTbTe4Au3.

abc: 6.1974 9.7449 9.3709
angles: 90.00 104.23 90.00
With the nearest neighbours (Å) after each atom.
Sites, in units of the cell vectors:
Li 0.2455 0.2500 0.4666  1 Au 2.72, 2 Te 2.92-3.02
Li 0.7545 0.7500 0.5334  1 Au 2.72, 2 Te 2.92-3.02
Tb 0.2699 0.7500 0.1576  4 Te 3.01-3.05, 2 Au 3.18-3.27
Tb 0.7301 0.2500 0.8424  4 Te 3.01-3.05, 2 Au 3.18-3.27
Te 0.0286 0.2500 0.1529  2 Au 2.71, 1 Li 2.92
Te 0.2056 0.7500 0.4653  1 Au 2.73, 1 Tb 3.01, 1 Li 3.02
Te 0.4160 0.0044 0.7714  3 Au 2.76-2.86, 1 Tb 3.05
Te 0.4160 0.4956 0.7714  3 Au 2.76-2.86, 1 Tb 3.05
Te 0.5840 0.5044 0.2286  3 Au 2.76-2.86, 1 Tb 3.05
Te 0.5840 0.9956 0.2286  3 Au 2.76-2.86, 1 Tb 3.05
Te 0.7944 0.2500 0.5347  1 Au 2.73, 1 Tb 3.01, 1 Li 3.02
Te 0.9714 0.7500 0.8471  2 Au 2.71, 1 Li 2.92
Au 0.1862 0.2500 0.7451  1 Li 2.72, 3 Te 2.73-2.76, 2 Au 2.88
Au 0.2120 0.0719 0.9945  3 Te 2.71-2.86, 2 Au 2.88-3.00
Au 0.2120 0.4281 0.9945  3 Te 2.71-2.86, 2 Au 2.88-3.00
Au 0.7880 0.5719 0.0055  3 Te 2.71-2.86, 2 Au 2.88-3.00
Au 0.7880 0.9281 0.0055  3 Te 2.71-2.86, 2 Au 2.88-3.00
Au 0.8138 0.7500 0.2549  1 Li 2.72, 3 Te 2.73-2.76, 2 Au 2.88

distance to the lowest polymorph of the same formula = 78 meV per atom
energy = -3.684 eV/atom
space-group type = P2_1/m (11)
spin magnetization = 0.00 μB per formula unit

***

20.
VASP calculation (GGA-PBE) on an optimized crystal structure of Ni2SnPb.

abc: 5.0710 6.2183 6.2183
angles: 129.83 90.00 90.00
With the nearest neighbours (Å) after each atom.
Sites, in units of the cell vectors:
Ni 0.2500 0.1226 0.8774  1 Ni 2.54, 2 Pb 2.59-2.69, 3 Sn 2.61-2.72
Ni 0.2500 0.4661 0.7859  1 Ni 2.54, 2 Sn 2.62-2.75, 2 Pb 2.68
Ni 0.7500 0.7859 0.4661  1 Ni 2.54, 2 Sn 2.62-2.75, 2 Pb 2.68
Ni 0.7500 0.8774 0.1226  1 Ni 2.54, 2 Pb 2.59-2.69, 3 Sn 2.61-2.72
Sn 0.2500 0.0001 0.2264  5 Ni 2.61-2.75
Sn 0.7500 0.2264 0.0001  5 Ni 2.61-2.75
Pb 0.2500 0.6160 0.4019  4 Ni 2.59-2.69
Pb 0.7500 0.4019 0.6160  4 Ni 2.59-2.69

distance to the lowest polymorph of the same formula = 100 meV per atom
energy = -4.517 eV/atom
space-group type = Ama2 (40)
spin magnetization = 0.00 μB per formula unit